No. 1
SmCo2Ge2 after structural relaxation, computed with PBE.

Results
For the final energy, the calculation gives -6.240 eV per atom. The energy of formation comes out at -0.607 eV/atom.

Unit cell a=5.850 b=5.850 c=5.850 alpha=140.10 beta=140.10 gamma=57.70
Fractional positions:
Sm 0.000 0.000 0.000
Co 0.250 0.750 0.500
Co 0.750 0.250 0.500
Ge 0.370 0.370 0.000
Ge 0.630 0.630 0.000


No. 2
Ca2CdIr after structural relaxation, computed with PBE.

Results
For the final energy, the calculation gives -3.517 eV per atom. The energy of formation comes out at -0.072 eV/atom.

Unit cell a=4.179 b=4.179 c=8.543 alpha=97.24 beta=97.24 gamma=46.52
Fractional positions:
Ca 0.240 0.240 0.196
Ca 0.760 0.760 0.804
Cd 0.000 0.000 0.500
Ir 0.500 0.500 0.000


No. 3
NdHoZnSi after structural relaxation, computed with PBE.

Results
The calculation puts the raw formation energy at -2.14 eV per formula unit. For the final energy, the calculation gives -4.546 eV per atom. As for the distance to the lowest polymorph of the same formula: 0 meV per atom.

Unit cell a=4.078 b=5.940 c=5.940 alpha=41.65 beta=90.00 gamma=90.00
Fractional positions:
Nd 0.000 0.000 0.000
Ho 0.500 0.285 0.285
Zn 0.500 0.581 0.581
Si 0.000 0.720 0.720


No. 4
Hf2NiGe after structural relaxation, computed with PBE.

Results
For the final energy, the calculation gives -8.200 eV per atom. The energy of formation comes out at -0.624 eV/atom.

Unit cell a=5.354 b=3.732 c=7.498 alpha=90.00 beta=110.33 gamma=90.00
Fractional positions:
Hf 0.197 0.250 0.416
Hf 0.267 0.750 0.063
Hf 0.733 0.250 0.937
Hf 0.803 0.750 0.584
Ni 0.139 0.250 0.796
Ni 0.861 0.750 0.204
Ge 0.370 0.750 0.708
Ge 0.630 0.250 0.292


No. 5
Ac5SmP6 after structural relaxation, computed with PBE.

Results
For the final energy, the calculation gives -6.275 eV per atom. The energy of formation comes out at -1.465 eV/atom.

Unit cell a=7.615 b=7.615 c=7.613 alpha=99.60 beta=99.60 gamma=119.99
Fractional positions:
Ac 0.000 0.000 0.000
Ac 0.166 0.834 0.500
Ac 0.333 0.667 0.000
Ac 0.667 0.333 0.000
Ac 0.834 0.166 0.500
Sm 0.500 0.500 0.500
P 0.095 0.419 0.256
P 0.258 0.258 0.744
P 0.419 0.095 0.256
P 0.581 0.905 0.744
P 0.742 0.742 0.256
P 0.905 0.581 0.744


No. 6
Cs2PuI2F4 after structural relaxation, computed with PBE.

Results
The calculation puts the raw formation energy at -22.93 eV per formula unit. For the final energy, the calculation gives -5.506 eV per atom.

Unit cell a=7.525 b=7.525 c=7.525 alpha=117.79 beta=117.79 gamma=93.88
Fractional positions:
Cs 0.250 0.750 0.500
Cs 0.750 0.250 0.500
Pu 0.000 0.000 0.000
I 0.299 0.299 0.000
I 0.701 0.701 0.000
F 0.192 0.192 0.385
F 0.192 0.808 0.000
F 0.808 0.192 0.000
F 0.808 0.808 0.615


No. 7
MnVTc3 after structural relaxation, computed with PBE.

Results
For the final energy, the calculation gives -8.746 eV per atom. As for the distance to the lowest polymorph of the same formula: 0 meV per atom. The energy of formation comes out at 1.131 eV/atom.

Unit cell a=4.377 b=4.377 c=4.377 alpha=90.00 beta=90.00 gamma=90.00
Fractional positions:
Mn 0.000 0.000 0.000
V 0.500 0.500 0.500
Tc 0.000 0.000 0.500
Tc 0.000 0.500 0.000
Tc 0.500 0.000 0.000


No. 8
SmTmW4 after structural relaxation, computed with PBE.

Results
For the final energy, the calculation gives -9.981 eV per atom. The energy of formation comes out at 0.187 eV/atom.

Unit cell a=5.552 b=5.552 c=5.552 alpha=60.00 beta=60.00 gamma=60.00
Fractional positions:
Sm 0.000 0.000 0.000
Tm 0.750 0.750 0.750
W 0.375 0.375 0.375
W 0.375 0.375 0.875
W 0.375 0.875 0.375
W 0.875 0.375 0.375


Values for calculated density, g/cm³, ordered as above
8.4; 6.0; 7.0; 11.5; 6.8; 4.5; 7.9; 14.5